Compound: LaSmB12
Source: Alexandria
Functional: PBEsol
Structure: relaxed

Properties
Total magnetic moment in μB/f.u.: 0.00
Calculated volume in A^3/atom: 9.9
Calculated formation energy in eV per atom: -0.526
DOS(E_F) in states/eV per cell: 7.6

a = 8.2277 Å, b = 8.2277 Å, c = 8.2277 Å
α = 90.00°, β = 90.00°, γ = 90.00°
With the nearest neighbours (Å) after each atom.
Space group Fm-3m (No. 225)
Inequivalent atoms, fractional coordinates:
La  0.0000  0.0000  0.0000  24 B 3.02
Sm  0.0000  0.0000  0.5000  24 B 3.02
B  0.0997  0.2500  0.2500  5 B 1.64-1.75



Compound: LaSm3B24
Source: Alexandria
Functional: PBEsol
Structure: relaxed

Properties
Total magnetic moment in μB/f.u.: 0.00
Calculated volume in A^3/atom: 9.9
Calculated formation energy in eV per atom: -0.498
DOS(E_F) in states/eV per cell: 6.8

a = 8.2079 Å, b = 11.7050 Å, c = 5.7606 Å
α = 90.00°, β = 90.00°, γ = 90.00°
With the nearest neighbours (Å) after each atom.
Space group Cmmm (No. 65)
Inequivalent atoms, fractional coordinates:
La  0.0000  0.0000  0.0000  24 B 3.00-3.04
Sm  0.0000  0.2533  0.5000  24 B 2.99-3.08
Sm  0.0000  0.5000  0.0000  24 B 2.99-3.04
B  0.0993  0.5000  0.5000  5 B 1.63-1.74
B  0.1002  0.0000  0.5000  5 B 1.64-1.75
B  0.0997  0.2497  0.0000  5 B 1.64-1.75
B  0.2494  0.4255  0.3484  5 B 1.64-1.75
B  0.2502  0.1754  0.1517  5 B 1.64-1.75



Compound: LaSnB2
Source: Alexandria
Functional: PBEsol
Structure: relaxed

Properties
Total magnetic moment in μB/f.u.: 0.00
Calculated volume in A^3/atom: 19.6
Calculated formation energy in eV per atom: 0.558
DOS(E_F) in states/eV per cell: 3.5

a = 4.6742 Å, b = 4.6742 Å, c = 14.3515 Å
α = 90.00°, β = 90.00°, γ = 90.00°
With the nearest neighbours (Å) after each atom.
Space group I-42d (No. 122)
Inequivalent atoms, fractional coordinates:
La  0.0000  0.0000  0.0000  4 B 2.80
Sn  0.0000  0.0000  0.5000  4 B 2.21
B  0.1149  0.2500  0.6250  2 Sn 2.21



Compound: SrLaB3
Source: Alexandria
Functional: PBEsol
Structure: relaxed

Properties
Total magnetic moment in μB/f.u.: 0.00
Calculated volume in A^3/atom: 21.6
Calculated formation energy in eV per atom: 1.546
DOS(E_F) in states/eV per cell: 4.0

a = 4.7639 Å, b = 4.7639 Å, c = 4.7639 Å
α = 90.00°, β = 90.00°, γ = 90.00°
With the nearest neighbours (Å) after each atom.
Space group Pm-3m (No. 221)
Inequivalent atoms, fractional coordinates:
Sr  0.0000  0.0000  0.0000  12 B 3.37
La  0.5000  0.5000  0.5000  6 B 2.38
B  0.0000  0.5000  0.5000  2 La 2.38



Compound: LaTc3B
Source: Alexandria
Functional: PBEsol
Structure: relaxed

Properties
Total magnetic moment in μB/f.u.: 2.90
Calculated volume in A^3/atom: 20.3
Calculated formation energy in eV per atom: 3.147
DOS(E_F) in states/eV per cell: 6.5

a = 4.6646 Å, b = 4.6646 Å, c = 4.6646 Å
α = 90.00°, β = 90.00°, γ = 90.00°
With the nearest neighbours (Å) after each atom.
Space group Pm-3m (No. 221)
Inequivalent atoms, fractional coordinates:
La  0.0000  0.0000  0.0000  6 Tc 2.33
Tc  0.0000  0.0000  0.5000  2 La 2.33
B  0.5000  0.5000  0.5000  12 Tc 3.30



Compound: La3TcB
Source: Alexandria
Functional: PBEsol
Structure: relaxed

Properties
Total magnetic moment in μB/f.u.: 0.78
Calculated volume in A^3/atom: 26.2
Calculated formation energy in eV per atom: 0.700
DOS(E_F) in states/eV per cell: 8.5

a = 5.0798 Å, b = 5.0798 Å, c = 5.0798 Å
α = 90.00°, β = 90.00°, γ = 90.00°
With the nearest neighbours (Å) after each atom.
Space group Pm-3m (No. 221)
Inequivalent atoms, fractional coordinates:
La  0.0000  0.0000  0.5000  2 B 2.54
Tc  0.5000  0.5000  0.5000  12 La 3.59
B  0.0000  0.0000  0.0000  6 La 2.54



Compound: LaTcB2Te
Source: Alexandria
Functional: PBEsol
Structure: relaxed

Properties
Total magnetic moment in μB/f.u.: 0.00
Calculated volume in A^3/atom: 19.5
VASP energy in eV for the cell shown: -27.136
DOS(E_F) in states/eV per cell: 4.7

a = 4.4594 Å, b = 4.4594 Å, c = 4.9154 Å
α = 90.00°, β = 90.00°, γ = 90.00°
With the nearest neighbours (Å) after each atom.
Space group P4/mmm (No. 123)
Inequivalent atoms, fractional coordinates:
La  0.0000  0.0000  0.0000  4 Tc 3.15, 8 B 3.32
Tc  0.5000  0.5000  0.0000  2 Te 2.46
B  0.0000  0.5000  0.5000  2 Te 2.23
Te  0.5000  0.5000  0.5000  4 B 2.23, 2 Tc 2.46



Compound: LaBTe3
Source: Alexandria
Functional: PBEsol
Structure: relaxed

Properties
Total magnetic moment in μB/f.u.: 0.00
Calculated volume in A^3/atom: 44.3
VASP energy in eV for the cell shown: -18.131
DOS(E_F) in states/eV per cell: 7.7

a = 6.0484 Å, b = 6.0484 Å, c = 6.0484 Å
α = 90.00°, β = 90.00°, γ = 90.00°
With the nearest neighbours (Å) after each atom.
Space group Pm-3m (No. 221)
Inequivalent atoms, fractional coordinates:
La  0.0000  0.0000  0.0000  6 Te 3.02
B  0.5000  0.5000  0.5000  12 Te 4.28
Te  0.0000  0.0000  0.5000  2 La 3.02



Compound: LaTlZn2B
Source: Alexandria
Functional: PBEsol
Structure: relaxed

Properties
Total magnetic moment in μB/f.u.: 0.01
Calculated volume in A^3/atom: 28.2
Calculated formation energy in eV per atom: 1.208
DOS(E_F) in states/eV per cell: 5.0

a = 4.7796 Å, b = 4.7796 Å, c = 6.1641 Å
α = 90.00°, β = 90.00°, γ = 90.00°
With the nearest neighbours (Å) after each atom.
Space group P4/mmm (No. 123)
Inequivalent atoms, fractional coordinates:
La  0.0000  0.0000  0.0000  2 Tl 3.08, 4 B 3.38
Tl  0.0000  0.0000  0.5000  4 Zn 2.39
Zn  0.0000  0.5000  0.5000  2 Tl 2.39
B  0.5000  0.5000  0.0000  4 La 3.38



Compound: LaBW3
Source: Alexandria
Functional: PBEsol
Structure: relaxed

Properties
Total magnetic moment in μB/f.u.: 0.00
Calculated volume in A^3/atom: 16.9
Calculated formation energy in eV per atom: 0.672
DOS(E_F) in states/eV per cell: 4.7

a = 4.3923 Å, b = 4.3923 Å, c = 4.3923 Å
α = 90.00°, β = 90.00°, γ = 90.00°
With the nearest neighbours (Å) after each atom.
Space group Pm-3m (No. 221)
Inequivalent atoms, fractional coordinates:
La  0.0000  0.0000  0.0000  12 W 3.11
B  0.5000  0.5000  0.5000  6 W 2.20
W  0.0000  0.5000  0.5000  2 B 2.20



Compound: LaYB3
Source: Alexandria
Functional: PBEsol
Structure: relaxed

Properties
Total magnetic moment in μB/f.u.: 0.00
Calculated volume in A^3/atom: 18.8
Calculated formation energy in eV per atom: 1.527
DOS(E_F) in states/eV per cell: 4.4

a = 4.5450 Å, b = 4.5450 Å, c = 4.5450 Å
α = 90.00°, β = 90.00°, γ = 90.00°
With the nearest neighbours (Å) after each atom.
Space group Pm-3m (No. 221)
Inequivalent atoms, fractional coordinates:
La  0.0000  0.0000  0.0000  6 B 2.27
Y  0.5000  0.5000  0.5000  12 B 3.21
B  0.0000  0.0000  0.5000  2 La 2.27



Compound: LaZnB3
Source: Alexandria
Functional: PBEsol
Structure: relaxed

Properties
Total magnetic moment in μB/f.u.: 0.00
Calculated volume in A^3/atom: 20.4
Calculated formation energy in eV per atom: 2.484
DOS(E_F) in states/eV per cell: 3.1

a = 4.6732 Å, b = 4.6732 Å, c = 4.6732 Å
α = 90.00°, β = 90.00°, γ = 90.00°
With the nearest neighbours (Å) after each atom.
Space group Pm-3m (No. 221)
Inequivalent atoms, fractional coordinates:
La  0.0000  0.0000  0.0000  6 B 2.34
Zn  0.5000  0.5000  0.5000  12 B 3.30
B  0.0000  0.0000  0.5000  2 La 2.34